Record 1
GaNiBO4 after structural relaxation. Source: Alexandria via LeMat-Bulk, functional PBE with a Hubbard U.

Unit cell a=4.9672 b=4.9672 c=5.6826 alpha=90.00 beta=90.00 gamma=113.49
Last column: nearest neighbours and their distance in Å.
Sites, in units of the cell vectors:
Ga (0.1515, 0.8485, 0.7500)  4 O 1.85-1.92
Ga (0.8485, 0.1515, 0.2500)  4 O 1.85-1.92
Ni (0.5000, 0.5000, 0.0000)  6 O 2.08-2.10
Ni (0.5000, 0.5000, 0.5000)  6 O 2.08-2.10
B (0.1499, 0.8501, 0.2500)  4 O 1.46-1.56
B (0.8501, 0.1499, 0.7500)  4 O 1.46-1.56
O (0.1893, 0.2486, 0.7500)  1 B 1.56
O (0.2486, 0.1893, 0.2500)  1 B 1.56
O (0.2517, 0.7483, 0.0409)  1 B 1.46
O (0.2517, 0.7483, 0.4591)  1 B 1.46
O (0.7483, 0.2517, 0.5409)  1 B 1.46
O (0.7483, 0.2517, 0.9591)  1 B 1.46
O (0.7514, 0.8107, 0.7500)  1 B 1.56
O (0.8107, 0.7514, 0.2500)  1 B 1.56

## Properties
- Fermi-level density of states (states/eV/cell) = 0.0
- spin magnetization (Bohr magnetons per cell) = 3.992
- uncorrected energy (eV per cell) = -89.1


Record 2
GaNi2BO5 after structural relaxation. Source: Alexandria via LeMat-Bulk, functional PBE with a Hubbard U.

Unit cell a=7.3794 b=7.3794 c=9.9217 alpha=90.00 beta=90.00 gamma=157.34
Last column: nearest neighbours and their distance in Å.
Sites, in units of the cell vectors:
Ga (0.1796, 0.8204, 0.5000)  4 O 1.84-1.93
Ga (0.8204, 0.1796, 0.0000)  4 O 1.84-1.93
Ni (0.1229, 0.8771, 0.8272)  4 O 1.95-2.09
Ni (0.1634, 0.8366, 0.0995)  3 O 1.92-2.05
Ni (0.8366, 0.1634, 0.5995)  3 O 1.92-2.05
Ni (0.8771, 0.1229, 0.3272)  4 O 1.95-2.09
B (0.4456, 0.5544, 0.8109)  2 O 1.38-1.40
B (0.5544, 0.4456, 0.3109)  2 O 1.38-1.40
O (0.0724, 0.9276, 0.4007)  2 B 1.72, 1 Ga 1.84
O (0.3050, 0.6950, 0.1155)  2 Ga 1.86, 1 Ni 2.05
O (0.3062, 0.6938, 0.4391)  1 Ga 1.93, 2 Ni 2.09
O (0.3753, 0.6247, 0.7137)  1 B 1.40
O (0.4611, 0.5389, 0.2798)  1 B 1.38
O (0.5389, 0.4611, 0.7798)  1 B 1.38
O (0.6247, 0.3753, 0.2137)  1 B 1.40
O (0.6938, 0.3062, 0.9391)  1 Ga 1.93, 2 Ni 2.09
O (0.6950, 0.3050, 0.6155)  2 Ga 1.86, 1 Ni 2.05
O (0.9276, 0.0724, 0.9007)  2 B 1.72, 1 Ga 1.84

## Properties
- energy above the most stable polymorph in this dataset (eV/f.u.) = 2.53
- spin magnetization (Bohr magnetons per cell) = 8.000
- uncorrected energy (eV per cell) = -105.1


Record 3
GaNi2BO5 after structural relaxation. Source: Alexandria via LeMat-Bulk, functional PBE with a Hubbard U.

Unit cell a=9.3232 b=12.2899 c=3.0003 alpha=90.00 beta=90.00 gamma=90.00
Last column: nearest neighbours and their distance in Å.
Sites, in units of the cell vectors:
Ga (0.2386, 0.1163, 0.0000)  6 O 1.95-2.10
Ga (0.2614, 0.6163, 0.0000)  6 O 1.95-2.10
Ga (0.7386, 0.3837, 0.0000)  6 O 1.95-2.10
Ga (0.7614, 0.8837, 0.0000)  6 O 1.95-2.10
Ni (0.0000, 0.0000, 0.5000)  6 O 2.04-2.12
Ni (0.9996, 0.2816, 0.5000)  6 O 1.99-2.14
Ni (0.0000, 0.5000, 0.0000)  6 O 2.07-2.10
Ni (0.0004, 0.7184, 0.5000)  6 O 1.99-2.14
Ni (0.5000, 0.0000, 0.0000)  6 O 2.07-2.10
Ni (0.4996, 0.2184, 0.5000)  6 O 1.99-2.14
Ni (0.5000, 0.5000, 0.5000)  6 O 2.04-2.12
Ni (0.5004, 0.7816, 0.5000)  6 O 1.99-2.14
B (0.2282, 0.8612, 0.0000)  3 O 1.38-1.40
B (0.2718, 0.3612, 0.0000)  3 O 1.38-1.40
B (0.7282, 0.6388, 0.0000)  3 O 1.38-1.40
B (0.7718, 0.1388, 0.0000)  3 O 1.38-1.40
O (0.1097, 0.1432, 0.5000)  2 Ga 1.95, 2 Ni 1.99-2.04
O (0.1190, 0.5790, 0.5000)  3 Ni 2.04-2.10, 2 Ga 2.06
O (0.1238, 0.3597, 0.0000)  1 B 1.38
O (0.1516, 0.9586, 0.0000)  1 B 1.39
O (0.1531, 0.7630, 0.0000)  1 B 1.40
O (0.3469, 0.2630, 0.0000)  1 B 1.40
O (0.3484, 0.4586, 0.0000)  1 B 1.39
O (0.3762, 0.8597, 0.0000)  1 B 1.38
O (0.3810, 0.0790, 0.5000)  3 Ni 2.04-2.10, 2 Ga 2.06
O (0.3903, 0.6432, 0.5000)  2 Ga 1.95, 2 Ni 1.99-2.04
O (0.6097, 0.3568, 0.5000)  2 Ga 1.95, 2 Ni 1.99-2.04
O (0.6190, 0.9210, 0.5000)  3 Ni 2.04-2.10, 2 Ga 2.06
O (0.6238, 0.1403, 0.0000)  1 B 1.38
O (0.6516, 0.5414, 0.0000)  1 B 1.39
O (0.6531, 0.7370, 0.0000)  1 B 1.40
O (0.8469, 0.2370, 0.0000)  1 B 1.40
O (0.8484, 0.0414, 0.0000)  1 B 1.39
O (0.8762, 0.6403, 0.0000)  1 B 1.38
O (0.8810, 0.4210, 0.5000)  3 Ni 2.04-2.10, 2 Ga 2.06
O (0.8903, 0.8568, 0.5000)  2 Ga 1.95, 2 Ni 1.99-2.04

## Properties
- energy above the most stable polymorph in this dataset (eV/f.u.) = 0.00
- Fermi-level density of states (states/eV/cell) = 0.0
- spin magnetization (Bohr magnetons per cell) = 16.000
- uncorrected energy (eV per cell) = -220.3


Record 4
GaNi2B2O6 after structural relaxation. Source: Alexandria via LeMat-Bulk, functional PBE with a Hubbard U.

Unit cell a=4.8472 b=4.8472 c=5.6525 alpha=90.00 beta=90.00 gamma=120.00
Last column: nearest neighbours and their distance in Å.
Sites, in units of the cell vectors:
Ga (0.0000, 0.0000, 0.0000)  6 O 2.02
Ni (0.3333, 0.6667, 0.3303)  3 O 1.98
Ni (0.6667, 0.3333, 0.6697)  3 O 1.98
B (0.3333, 0.6667, 0.7937)  3 O 1.39
B (0.6667, 0.3333, 0.2063)  3 O 1.39
O (0.0655, 0.7005, 0.7884)  1 B 1.39
O (0.2995, 0.3649, 0.7884)  1 B 1.39
O (0.3649, 0.0655, 0.2116)  1 B 1.39
O (0.6351, 0.9345, 0.7884)  1 B 1.39
O (0.7005, 0.6351, 0.2116)  1 B 1.39
O (0.9345, 0.2995, 0.2116)  1 B 1.39

## Properties
- Fermi-level density of states (states/eV/cell) = 5.1
- spin magnetization (Bohr magnetons per cell) = 3.188
- uncorrected energy (eV per cell) = -68.4